VASP calculation (GGA-PBE) on an optimized crystal structure of TbUMn17.

Summary:
Crystal system   trigonal
DFT formation energy   0.0366 eV per atom
Calculated volume   246.1 Å³ per cell
ρ   8.980 g/cm3
Total energy   -9.006 eV per atom

Cell: 6.280 6.280 6.280 Å, 86.15 86.15 86.15°
Fractional positions:
Mn 0.272 0.001 0.725
Mn 0.103 0.103 0.103
Mn 0.001 0.725 0.272
Mn 0.901 0.901 0.901
Mn 0.888 0.358 0.358
Tb 0.646 0.646 0.646
Mn 0.272 0.725 0.001
U 0.354 0.354 0.354
Mn 0.358 0.888 0.358
Mn 0.358 0.358 0.888
Mn 0.995 0.501 0.995
Mn 0.134 0.636 0.636
Mn 0.501 0.995 0.995
Mn 0.636 0.134 0.636
Mn 0.001 0.272 0.725
Mn 0.725 0.001 0.272
Mn 0.636 0.636 0.134
Mn 0.725 0.272 0.001
Mn 0.995 0.995 0.501